VASP calculation (GGA-PBE) on an optimized crystal structure of SrCa2CrN.

Calculated values
Electronic total energy = -3.4784 eV/atom
Density of states at the Fermi level = 0.6585 states/eV/atom
ΔE_f (raw) = 120.4 kJ/mol of atoms
Symmetry = P4/mmm (123)

Lattice parameters (Å, degrees): 6.510 4.184 6.510 90.00 90.00 90.00
Fractional coordinates of all 5 atoms:
Sr 0.000 0.000 0.000
Ca 0.000 0.000 0.500
Ca 0.500 0.000 0.000
N 0.000 0.500 0.000
Cr 0.500 0.500 0.500